Density functional theory data (GGA-PBE) for a relaxed Y3Nb2Al9 crystal.

```
Y3Nb2Al9
1.0
-0.752 -0.734 4.147
7.622 -2.178 3.203
3.580 6.636 4.030
Al Y Nb
9 3 2
direct
0.658 0.978 0.706
0.135 0.147 0.582
0.342 0.294 0.022
0.865 0.418 0.853
0.865 0.853 0.418
0.135 0.582 0.147
0.342 0.022 0.294
0.658 0.706 0.978
0.000 0.500 0.500
0.000 0.000 0.000
0.300 0.700 0.700
0.700 0.300 0.300
0.500 0.685 0.315
0.500 0.315 0.685
```

Values from the calculation:
Total magnetization   0.0 μB per formula unit
DFT total energy   -0.41287 Ry/atom